VASP calculation (GGA-PBE) on a geometry-optimized VSiTcMo structure.

## Properties
Formation energy (no corrections): -132 kJ/mol of formula units
Calculated total energy: -9.28 eV/atom
Total moment: 0.000 μB/atom
DOS(E_F): 2.798 states/eV per cell

Lattice parameters (Å, degrees): 4.2789 4.2789 4.2789 60.00 60.00 60.00
Closest atoms and distances in Å follow each position.
Sites, in units of the cell vectors:
Tc (0.0000, 0.0000, 0.0000)  4 Si 2.62, 4 V 2.62
Mo (0.5000, 0.5000, 0.5000)  4 Si 2.62, 4 V 2.62
Si (0.7500, 0.7500, 0.7500)  4 Mo 2.62, 4 Tc 2.62
V (0.2500, 0.2500, 0.2500)  4 Mo 2.62, 4 Tc 2.62